DFT (PBE with a Hubbard U) results for an optimized crystal structure of Cs3La2MnO6.

```
Cs3La2MnO6
1.0
3.3234 -5.2758 0.0000
3.3234 5.2758 0.0000
-2.6727 0.0000 6.8885
Cs La Mn O
3 2 1 6
direct
0.0000 0.0000 0.0000
0.3348 0.6652 0.0000
0.6652 0.3348 0.0000
0.1653 0.8347 0.5000
0.8347 0.1653 0.5000
0.5000 0.5000 0.5000
0.1578 0.4395 0.3569
0.1985 0.1985 0.7069
0.4395 0.1578 0.3569
0.5605 0.8422 0.6431
0.8015 0.8015 0.2931
0.8422 0.5605 0.6431
```

Output
VASP energy	-6.2512	eV/atom
spin magnetization	3.9	Bohr magnetons per cell